(1)
Entry from the Open Quantum Materials Database: a relaxed Al4CuCSe2 crystal (GGA-PBE).

Calculated values
* energy: -4.51 eV/atom

Cell lengths 5.080, 5.080, 12.107 Å; angles 90.00, 90.00, 90.00 degrees
Space group I-4 (No. 82)
Unique sites:
Al 0.169 0.240 0.395 (multiplicity 8)
Cu 0.000 0.500 0.250 (multiplicity 2)
C 0.000 0.000 0.500 (multiplicity 2)
Se 0.000 0.000 0.000 (multiplicity 2)
Se 0.000 0.500 0.750 (multiplicity 2)



(2)
Entry from the Open Quantum Materials Database: a relaxed GeSbW4N2 crystal (GGA-PBE).

Calculated values
* energy: -9.23 eV/atom

Cell lengths 3.0541, 3.0541, 13.6374 Å; angles 90.00, 90.00, 120.00 degrees
Space group P-6m2 (No. 187)
Unique sites:
Ge 0.0000 0.0000 0.0000 (multiplicity 1)
Sb 0.3333 0.6667 0.5000 (multiplicity 1)
W 0.0000 0.0000 0.3355 (multiplicity 2)
W 0.3333 0.6667 0.1456 (multiplicity 2)
N 0.6667 0.3333 0.2418 (multiplicity 2)